Density functional theory data (GGA-PBE) for CsGa2AgF8 after structural relaxation.

## Properties
* ΔE_f (raw): -28.42 eV/f.u.
* SG: R-3, No. 148

Cell lengths 5.771, 5.771, 8.710 Å; angles 70.66, 70.66, 60.00 degrees
Last column: magnetic moment on the atom in μB.
Fractional coordinates of all 12 atoms:
Cs (0.500, 0.500, 0.500)  0.00
Ga (0.256, 0.256, 0.233)  0.00
Ga (0.744, 0.744, 0.767)  0.00
Ag (0.000, 0.000, 0.000)  0.12
F (0.181, 0.181, 0.458)  0.00
F (0.568, 0.292, 0.171)  0.00
F (0.819, 0.819, 0.542)  0.00
F (0.969, 0.568, 0.171)  0.00
F (0.031, 0.432, 0.829)  0.00
F (0.292, 0.969, 0.171)  0.00
F (0.708, 0.031, 0.829)  0.00
F (0.432, 0.708, 0.829)  0.00